A plane-wave DFT calculation with PBE-GGA was carried out for a relaxed Pr4SnSb3 crystal.

POSCAR file:
```
Pr4SnSb3
1.0
6.4448 0.0000 0.0000
0.0000 6.4448 0.0000
0.0000 0.0000 6.4448
Pr Sb Sn
4 3 1
Direct
0.5000 0.0000 0.0000
0.0000 0.5000 0.0000
0.0000 0.0000 0.5000
0.5000 0.5000 0.5000
0.0000 0.5000 0.5000
0.5000 0.0000 0.5000
0.5000 0.5000 0.0000
0.0000 0.0000 0.0000
```

symmetry: Pm-3m


A plane-wave DFT calculation with PBE-GGA was carried out for a relaxed Pr7Sn2Sb2 crystal.

POSCAR file:
```
Pr7Sn2Sb2
1.0
-4.3506 5.3093 2.6321
-0.4839 -3.5684 6.3978
6.8225 2.1393 1.7093
Pr Sn Sb
7 2 2
Direct
0.9998 0.2846 0.5003
0.5003 0.7154 0.9998
0.0002 0.7154 0.4997
0.4997 0.2846 0.0002
0.0000 0.0000 0.0000
0.5002 0.7406 0.4998
0.4998 0.2594 0.5002
0.8241 0.5000 0.8241
0.1759 0.5000 0.1759
0.7244 0.0000 0.2756
0.2756 0.0000 0.7244
```

symmetry: Cmmm


A plane-wave DFT calculation with PBE-GGA was carried out for a relaxed Pr6SnSb2Te3 crystal.

POSCAR file:
```
Pr6SnSb2Te3
1.0
-1.0410 2.3530 -3.7629
-8.8355 -0.3711 2.2121
3.6437 7.1914 6.2499
Pr Sn Sb Te
6 1 2 3
Direct
0.3368 0.9134 0.6736
0.6687 0.5777 0.3373
0.6632 0.0866 0.3264
0.0014 0.2428 0.0028
0.9986 0.7572 0.9972
0.3313 0.4223 0.6627
0.5000 0.0000 0.0000
0.8332 0.6666 0.6664
0.1668 0.3334 0.3336
0.5000 0.5000 0.0000
0.8325 0.1672 0.6649
0.1675 0.8328 0.3351
```

symmetry: C2/m


Ordered size of the total moment results: 0.000, 0.000, 0.000; unit μB/atom.
Ordered final energy results: -5.467, -5.001, -5.486; unit eV/atom.